# TbZn2Au7 PBE relaxed
data_TbZn2Au7
_cell_length_a 7.4441
_cell_length_b 13.1222
_cell_length_c 4.6612
_cell_angle_alpha 90.00
_cell_angle_beta 90.00
_cell_angle_gamma 90.00
_space_group_name_H-M_alt 'C m m m'
_space_group_IT_number 65
_space_group_name_Hall '-C 2 2'
loop_
_atom_site_label
_atom_site_fract_x
_atom_site_fract_y
_atom_site_fract_z
_atom_site_occupancy
Tb1 0.0000 0.0000 0.0000 1
Zn1 0.0000 0.2987 0.5000 1
Au1 0.0000 0.2189 0.0000 1
Au2 0.0000 0.5000 0.5000 1
Au3 0.1862 0.1143 0.5000 1
# calculated formation energy = -0.190 eV/atom
# total magnetic moment = 0.000 μB per cell

***

# Tb8Zn2Au PBE relaxed
data_Tb8Zn2Au
_cell_length_a 17.8693
_cell_length_b 5.0934
_cell_length_c 6.8784
_cell_angle_alpha 90.00
_cell_angle_beta 104.94
_cell_angle_gamma 90.00
_space_group_name_H-M_alt 'C 1 2/m 1'
_space_group_IT_number 12
loop_
_space_group_symop_operation_xyz
'x,y,z'
'-x,-y,-z'
'-x,y,-z'
'x,-y,z'
'x+1/2,y+1/2,z'
'-x+1/2,-y+1/2,-z'
'-x+1/2,y+1/2,-z'
'x+1/2,-y+1/2,z'
loop_
_atom_site_label
_atom_site_fract_x
_atom_site_fract_y
_atom_site_fract_z
_atom_site_occupancy
Tb1 0.0271 0.0000 0.2719 1
Tb2 0.0916 0.5000 0.9560 1
Tb3 0.1647 0.5000 0.4693 1
Tb4 0.2013 0.0000 0.8222 1
Zn1 0.1874 0.0000 0.2285 1
Au1 0.0000 0.5000 0.5000 1
# calculated formation energy = -0.233 eV/atom
# total magnetic moment = 0.001 μB per cell

***

# TbZn3Au9 PBE relaxed
data_TbZn3Au9
_cell_length_a 5.3777
_cell_length_b 13.3524
_cell_length_c 7.0156
_cell_angle_alpha 90.00
_cell_angle_beta 108.83
_cell_angle_gamma 90.00
_space_group_name_H-M_alt 'C 1 2/m 1'
_space_group_IT_number 12
loop_
_space_group_symop_operation_xyz
'x,y,z'
'-x,-y,-z'
'-x,y,-z'
'x,-y,z'
'x+1/2,y+1/2,z'
'-x+1/2,-y+1/2,-z'
'-x+1/2,y+1/2,-z'
'x+1/2,-y+1/2,z'
loop_
_atom_site_label
_atom_site_fract_x
_atom_site_fract_y
_atom_site_fract_z
_atom_site_occupancy
Tb1 0.0000 0.0000 0.0000 1
Zn1 0.0000 0.5000 0.5000 1
Zn2 0.2500 0.2500 0.0000 1
Au1 0.0000 0.0000 0.5000 1
Au2 0.0810 0.3924 0.2114 1
Au3 0.1408 0.1758 0.3293 1
# calculated formation energy = -0.315 eV/atom
# total magnetic moment = 0.000 μB per cell

***

# Tb2ZnAu PBE relaxed
data_Tb2ZnAu
_cell_length_a 5.0857
_cell_length_b 3.5989
_cell_length_c 10.1891
_cell_angle_alpha 90.00
_cell_angle_beta 90.00
_cell_angle_gamma 90.00
_space_group_name_H-M_alt 'P m m a'
_space_group_IT_number 51
loop_
_space_group_symop_operation_xyz
'x,y,z'
'-x,-y,-z'
'-x+1/2,-y,z'
'x+1/2,y,-z'
'x+1/2,-y,-z'
'-x+1/2,y,z'
'-x,y,-z'
'x,-y,z'
loop_
_atom_site_label
_atom_site_fract_x
_atom_site_fract_y
_atom_site_fract_z
_atom_site_occupancy
Tb1 0.2500 0.0000 0.1247 1
Tb2 0.2500 0.0000 0.6245 1
Zn1 0.2500 0.5000 0.3825 1
Au1 0.2500 0.5000 0.8686 1
# calculated formation energy = -0.604 eV/atom
# total magnetic moment = 0.000 μB per cell

***

# Tb6Zn2Au PBE relaxed
data_Tb6Zn2Au
_cell_length_a 9.6812
_cell_length_b 9.8308
_cell_length_c 10.0172
_cell_angle_alpha 90.00
_cell_angle_beta 90.00
_cell_angle_gamma 90.00
_space_group_name_H-M_alt 'I m m m'
_space_group_IT_number 71
_space_group_name_Hall '-I 2 2'
loop_
_atom_site_label
_atom_site_fract_x
_atom_site_fract_y
_atom_site_fract_z
_atom_site_occupancy
Tb1 0.0000 0.1755 0.2172 1
Tb2 0.1755 0.5000 0.2365 1
Tb3 0.1944 0.2466 0.5000 1
Zn1 0.0000 0.3726 0.0000 1
Zn2 0.1354 0.0000 0.0000 1
Au1 0.0000 0.0000 0.5000 1
Au2 0.0000 0.5000 0.5000 1
# calculated formation energy = -0.300 eV/atom
# total magnetic moment = 0.000 μB per cell

***

# Tb2Zn7Au PBE relaxed
data_Tb2Zn7Au
_cell_length_a 4.1305
_cell_length_b 4.1305
_cell_length_c 10.9170
_cell_angle_alpha 90.00
_cell_angle_beta 90.00
_cell_angle_gamma 90.00
_space_group_name_H-M_alt 'P -4 m 2'
_space_group_IT_number 115
loop_
_space_group_symop_operation_xyz
'x,y,z'
'y,-x,-z'
'-x,-y,z'
'-y,x,-z'
'-x,y,z'
'-y,-x,-z'
'x,-y,z'
'y,x,-z'
loop_
_atom_site_label
_atom_site_fract_x
_atom_site_fract_y
_atom_site_fract_z
_atom_site_occupancy
Tb1 0.0000 0.5000 0.2438 1
Zn1 0.0000 0.0000 0.0000 1
Zn2 0.0000 0.5000 0.6451 1
Zn3 0.0000 0.5000 0.8667 1
Zn4 0.5000 0.5000 0.0000 1
Zn5 0.5000 0.5000 0.5000 1
Au1 0.0000 0.0000 0.5000 1
# calculated formation energy = -0.353 eV/atom
# total magnetic moment = 0.000 μB per cell

***

Computed uncorrected energy (eV per atom) in order:
-3.20, -4.13, -3.23, -4.06, -4.03, -2.50